Entry 1:
Here is DyThCoAu after structural relaxation from the Alexandria database. Energies are from PBE-GGA.

```
DyThCoAu
1.0
-1.778 -1.651 4.409
2.941 0.065 4.083
-0.929 3.261 3.719
Dy Au Co Th
1 1 1 1
direct
0.750 0.750 0.750
0.000 0.000 0.000
0.500 0.500 0.500
0.250 0.250 0.250
```

Values from the calculation:
* energy relative to the elements: -0.351 eV/atom
* SG: No. 216

Entry 2:
Here is PuReSe2 after structural relaxation from the Alexandria database. Energies are from PBE-GGA.

```
PuReSe2
1.0
-2.510 0.514 -1.943
-2.993 -0.154 1.165
-1.520 9.303 1.762
Se Pu Re
2 1 1
direct
0.104 0.104 0.688
0.896 0.896 0.312
0.000 0.000 0.000
0.500 0.500 0.500
```

Values from the calculation:
* SG: No. 166
* formation energy without anion corrections: 0.0491 eV per atom

Entry 3:
Here is Pa2ReSb after structural relaxation from the Alexandria database. Energies are from PBE-GGA.

```
Pa2ReSb
1.0
4.080 0.000 0.000
2.040 3.533 0.000
2.040 1.178 7.251
Re Sb Pa
1 1 2
direct
0.000 0.000 0.000
0.500 0.500 0.500
0.265 0.265 0.206
0.735 0.735 0.794
```

Values from the calculation:
* relative energy among the computed polymorphs: 0.055 eV/atom
* SG: No. 166
* formation energy without anion corrections: -0.2217 eV per atom

Entry 4:
Here is YVSb2I after structural relaxation from the Alexandria database. Energies are from PBE-GGA.

```
YVSb2I
1.0
5.171 0.000 0.000
0.000 5.171 0.000
0.000 0.000 5.537
I Sb V Y
1 2 1 1
direct
0.000 0.000 0.500
0.500 0.000 0.000
0.000 0.500 0.000
0.000 0.000 0.000
0.500 0.500 0.500
```

Values from the calculation:
* relative energy among the computed polymorphs: 0.000 eV/atom
* SG: No. 123
* formation energy without anion corrections: 0.0755 eV per atom

Entry 5:
Here is K3Na12Hg after structural relaxation from the Alexandria database. Energies are from PBE-GGA.

```
K3Na12Hg
1.0
5.747 0.000 0.000
0.000 5.747 0.000
0.000 0.000 19.697
Na K Hg
12 3 1
direct
0.500 0.000 0.361
0.500 0.500 0.228
0.000 0.500 0.090
0.000 0.500 0.639
0.500 0.000 0.910
0.500 0.000 0.090
0.500 0.500 0.000
0.500 0.500 0.772
0.000 0.500 0.910
0.500 0.500 0.500
0.000 0.500 0.361
0.500 0.000 0.639
0.000 0.000 0.779
0.000 0.000 0.221
0.000 0.000 0.500
0.000 0.000 0.000
```

Values from the calculation:
* energy relative to the elements: -0.009 eV/atom
* SG: No. 123

Entry 6:
Here is HRuRh2 after structural relaxation from the Alexandria database. Energies are from PBE-GGA.

```
HRuRh2
1.0
-1.343 1.666 -1.711
0.125 -0.423 -2.704
-5.920 -3.638 -1.091
Ru H Rh
1 1 2
direct
0.500 0.500 0.500
0.000 0.000 0.000
0.273 0.273 0.182
0.727 0.727 0.818
```

Values from the calculation:
* relative energy among the computed polymorphs: 0.000 eV/atom
* SG: No. 166

Number 1: total magnetic moment 0.000 μB/atom. Number 2: total magnetic moment 1.435 μB/atom. Number 3: total magnetic moment 0.000 μB/atom. Number 4: total magnetic moment 0.367 μB/atom. Number 5: total magnetic moment 0.000 μB/atom. Number 6: total magnetic moment 0.000 μB/atom.